! HoTl2CuCl6, relaxed, DFT PBE; values from VASP
! Electronic total energy = -3.820 eV per atom
! Crystal system = monoclinic
! Uncorrected formation energy = -1.372 eV/atom
! DOS at the Fermi energy = 0.000 states/eV/f.u.
&SYSTEM
  ibrav = 0, nat = 10, ntyp = 4
/
ATOMIC_SPECIES
Ho 164.93 Ho.upf
Tl 204.38 Tl.upf
Cu 63.55 Cu.upf
Cl 35.45 Cl.upf
CELL_PARAMETERS angstrom
6.878 -3.527 0.000
6.878 3.527 0.000
-2.323 0.000 6.103
ATOMIC_POSITIONS crystal
Ho 0.000 0.000 0.000
Tl 0.264 0.264 0.801
Tl 0.736 0.736 0.199
Cu 0.500 0.500 0.500
Cl 0.192 0.192 0.278
Cl 0.200 0.677 0.219
Cl 0.323 0.800 0.781
Cl 0.677 0.200 0.219
Cl 0.800 0.323 0.781
Cl 0.808 0.808 0.722